[1]
# K3PuI7

A relaxed K3PuI7 crystal (GGA-PBE, the Alexandria database).

POSCAR file:
```
K3PuI7
1.0
-2.1687 3.6480 7.3803
-0.7666 -7.2670 4.3684
5.5532 -1.2941 7.2748
K Pu I
3 1 7
direct
0.7863 0.2227 0.4888
0.5150 0.5150 0.8965
0.2227 0.7863 0.4888
0.9482 0.9482 0.0465
0.1471 0.1471 0.1381
0.6287 0.1466 0.2196
0.9598 0.3305 0.7308
0.1466 0.6287 0.2196
0.6300 0.6300 0.4276
0.3305 0.9598 0.7308
0.8099 0.8099 0.8630
```

Summary:
Calculated density in Mg/m³: 4.02
Formation energy (no corrections) in meV/atom: -1144
Total energy in eV per atom: -3.7327
Space-group type: Cm, No. 8

---

[2]
# K2PuI6

A relaxed K2PuI6 crystal (GGA-PBE, the Alexandria database).

POSCAR file:
```
K2PuI6
1.0
4.5213 0.0000 0.0000
0.0000 9.4456 0.0000
0.0000 -4.7228 8.1869
K Pu I
2 1 6
direct
0.0000 0.3336 0.6669
0.0000 0.6666 0.3331
0.5000 0.9992 0.0000
0.5000 0.6180 0.0000
0.5000 0.3830 0.3827
0.5000 0.0003 0.6173
0.0000 0.2363 0.0000
0.0000 0.7630 0.7628
0.0000 0.0001 0.2372
```

Summary:
Calculated density in Mg/m³: 5.15
Formation energy (no corrections) in meV/atom: -1043
Total energy in eV per atom: -3.9132
Space-group type: Amm2, No. 38

---

[3]
# KSrPuI6

A relaxed KSrPuI6 crystal (GGA-PBE, the Alexandria database).

POSCAR file:
```
KSrPuI6
1.0
-4.1080 -6.4366 -3.1665
6.1196 -1.2602 5.4123
-10.0870 0.7420 11.5779
K Sr Pu I
2 2 2 12
direct
0.0000 0.0000 0.0000
0.0000 0.0000 0.5000
0.3333 0.6667 0.2500
0.6667 0.3333 0.7500
0.6667 0.3333 0.2500
0.3333 0.6667 0.7500
0.6465 0.6297 0.1322
0.9832 0.3535 0.1322
0.3535 0.9832 0.6322
0.0168 0.6465 0.8678
0.3703 0.3535 0.3678
0.9832 0.6297 0.3678
0.6297 0.9832 0.8678
0.6465 0.0168 0.3678
0.0168 0.3703 0.6322
0.3703 0.0168 0.1322
0.6297 0.6465 0.6322
0.3535 0.3703 0.8678
```

Summary:
Calculated density in Mg/m³: 4.13
Formation energy (no corrections) in meV/atom: -1368
Total energy in eV per atom: -4.3024
Space-group type: P-31c, No. 163

---

[4]
# K2PuTlI8

A relaxed K2PuTlI8 crystal (GGA-PBE, the Alexandria database).

POSCAR file:
```
K2PuTlI8
1.0
8.2242 -0.0072 -0.0135
-0.0331 7.3468 0.0044
-0.0055 0.0279 10.0299
K Pu Tl I
2 1 1 8
direct
0.4996 0.4981 0.7594
0.5004 0.5019 0.2406
0.0000 0.0000 0.0000
0.0000 0.0000 0.5000
0.1247 0.7534 0.2176
0.6827 0.7933 0.9985
0.8732 0.2452 0.2160
0.8753 0.2466 0.7824
0.3173 0.2067 0.0015
0.1268 0.7548 0.7840
0.6039 0.8130 0.5006
0.3961 0.1870 0.4994
```

Summary:
Calculated density in Mg/m³: 4.22
Formation energy (no corrections) in meV/atom: -904
Total energy in eV per atom: -3.5123
Space-group type: P-1, No. 2

---

[5]
# K2PuTlI6

A relaxed K2PuTlI6 crystal (GGA-PBE, the Alexandria database).

POSCAR file:
```
K2PuTlI6
1.0
-1.3108 -2.3161 -7.8831
-8.3912 -2.8628 2.2363
-4.4920 11.0569 -2.7006
K Pu Tl I
4 2 2 12
direct
0.0407 0.9045 0.2527
0.5407 0.5955 0.7527
0.9593 0.0955 0.7473
0.4593 0.4045 0.2473
0.5000 0.0000 0.5000
0.0000 0.5000 0.0000
0.5000 0.0000 0.0000
0.0000 0.5000 0.5000
0.3025 0.6758 0.0660
0.8025 0.8242 0.5660
0.6975 0.3242 0.9340
0.1975 0.1758 0.4340
0.3406 0.7071 0.4291
0.8406 0.7929 0.9291
0.6594 0.2929 0.5709
0.1594 0.2071 0.0709
0.8597 0.5522 0.2340
0.3597 0.9478 0.7340
0.1403 0.4478 0.7660
0.6403 0.0522 0.2660
```

Summary:
Calculated density in Mg/m³: 4.60
Formation energy (no corrections) in meV/atom: -1154
Total energy in eV per atom: -3.9730
Space-group type: P2_1/c, No. 14

---

[6]
# KPuTlI6

A relaxed KPuTlI6 crystal (GGA-PBE, the Alexandria database).

POSCAR file:
```
KPuTlI6
1.0
8.5499 0.0000 0.0000
-4.2749 7.4044 0.0000
0.0000 0.0000 14.1228
K Pu Tl I
2 2 2 12
direct
0.3333 0.6667 0.2500
0.6667 0.3333 0.7500
0.6667 0.3333 0.2500
0.3333 0.6667 0.7500
0.0000 0.0000 0.0000
0.0000 0.0000 0.5000
0.6700 0.6217 0.1257
0.9517 0.3300 0.1257
0.3300 0.9517 0.6257
0.0483 0.6700 0.8743
0.3783 0.3300 0.3743
0.9517 0.6217 0.3743
0.6217 0.9517 0.8743
0.6700 0.0483 0.3743
0.0483 0.3783 0.6257
0.3783 0.0483 0.1257
0.6217 0.6700 0.6257
0.3300 0.3783 0.8743
```

Summary:
Calculated density in Mg/m³: 4.64
Formation energy (no corrections) in meV/atom: -952
Total energy in eV per atom: -3.9630
Space-group type: P-31c, No. 163

---

[7]
# KTmPuI6

A relaxed KTmPuI6 crystal (GGA-PBE, the Alexandria database).

POSCAR file:
```
KTmPuI6
1.0
-0.0661 7.2432 3.3088
-6.7213 -3.0943 -2.9439
-3.1733 -6.4224 13.9956
K Tm Pu I
2 2 2 12
direct
0.0000 0.0000 0.0000
0.0000 0.0000 0.5000
0.6667 0.3333 0.2500
0.3333 0.6667 0.7500
0.3333 0.6667 0.2500
0.6667 0.3333 0.7500
0.6469 0.6291 0.1365
0.9822 0.3531 0.1365
0.3531 0.9822 0.6365
0.0178 0.6469 0.8635
0.3709 0.3531 0.3635
0.9822 0.6291 0.3635
0.6291 0.9822 0.8635
0.6469 0.0178 0.3635
0.0178 0.3709 0.6365
0.3709 0.0178 0.1365
0.6291 0.6469 0.6365
0.3531 0.3709 0.8635
```

Summary:
Calculated density in Mg/m³: 4.67
Formation energy (no corrections) in meV/atom: -1276
Total energy in eV per atom: -4.5210
Space-group type: P-31c, No. 163

---

[8]
# KRbI

A relaxed KRbI crystal (GGA-PBE, the Alexandria database).

POSCAR file:
```
KRbI
1.0
5.0137 0.0000 0.0000
-2.5068 4.3420 0.0000
0.0000 0.0000 8.6643
I K Rb
1 1 1
direct
0.6667 0.3333 0.3436
0.3333 0.6667 0.5863
0.0000 0.0000 0.0702
```

Summary:
Calculated density in Mg/m³: 2.21
Formation energy (no corrections) in meV/atom: -928
Total energy in eV per atom: -2.1331
Space-group type: P3m1, No. 156

---

Q: total energy of number 5 (K2PuTlI6)?
A: -3.9730 eV per atom